# 1
ZrP2NCl at its PBEsol-relaxed geometry. Source: the Alexandria database, functional meta-GGA SCAN.

Summary:
DOS(E_F) ... 2.65 states/eV per cell
V ... 25.14 A^3/atom
Raw total energy ... -12.986 eV/atom

a = 4.973 Å, b = 5.028 Å, c = 5.028 Å
α = 90.00°, β = 90.00°, γ = 90.00°
Fractional positions:
Cl 0.500 0.000 0.000
Zr 0.000 0.000 0.000
P 0.000 0.500 0.000
P 0.000 0.000 0.500
N 0.500 0.500 0.500


# 2
PbSNCl2 at its PBEsol-relaxed geometry. Source: the Alexandria database, functional meta-GGA SCAN.

Summary:
DOS(E_F) ... 5.15 states/eV per cell
V ... 29.92 A^3/atom
Raw total energy ... -21.336 eV/atom

a = 5.360 Å, b = 5.360 Å, c = 5.208 Å
α = 90.00°, β = 90.00°, γ = 90.00°
Fractional positions:
N 0.500 0.500 0.500
Cl 0.000 0.500 0.000
Cl 0.500 0.000 0.000
Pb 0.000 0.000 0.000
S 0.000 0.000 0.500


# 3
PbSeNCl2 at its PBEsol-relaxed geometry. Source: the Alexandria database, functional meta-GGA SCAN.

Summary:
DOS(E_F) ... 1.04 states/eV per cell
V ... 18.40 A^3/atom
Raw total energy ... -23.793 eV/atom

a = 4.489 Å, b = 4.527 Å, c = 4.527 Å
α = 90.00°, β = 90.00°, γ = 90.00°
Fractional positions:
Cl 0.000 0.500 0.000
Cl 0.000 0.000 0.500
N 0.000 0.000 0.000
Pb 0.500 0.500 0.500
Se 0.500 0.000 0.000


# 4
PbSeN2Cl at its PBEsol-relaxed geometry. Source: the Alexandria database, functional meta-GGA SCAN.

Summary:
DOS(E_F) ... 2.41 states/eV per cell
V ... 16.97 A^3/atom
Raw total energy ... -22.619 eV/atom

a = 4.197 Å, b = 4.197 Å, c = 4.817 Å
α = 90.00°, β = 90.00°, γ = 90.00°
Fractional positions:
Cl 0.000 0.000 0.000
Se 0.000 0.000 0.500
N 0.500 0.000 0.000
N 0.000 0.500 0.000
Pb 0.500 0.500 0.500